No. 1
Entry from the Alexandria database: a relaxed Ba3LiRh2O8 crystal (PBE).

a b c (Å): 5.7671 5.7671 7.8202
angles (deg): 90.00 90.00 120.00
Last column: magnetic moment on the atom in μB.
Positions (direct):
O 0.6595 0.8297 0.3229  0.02
Rh 0.3333 0.6667 0.1941  0.19
O 0.1703 0.8297 0.3229  0.02
O 0.8297 0.6595 0.6771  0.02
O 0.6667 0.3333 0.0413  0.04
O 0.1703 0.3405 0.3229  0.02
Ba 0.6667 0.3333 0.3728  0.01
O 0.3333 0.6667 0.9587  0.04
Li 0.0000 0.0000 0.5000  0.00
O 0.8297 0.1703 0.6771  0.02
O 0.3405 0.1703 0.6771  0.02
Ba 0.0000 0.0000 0.0000  0.00
Rh 0.6667 0.3333 0.8059  0.19
Ba 0.3333 0.6667 0.6272  0.01

Space-group type: P-3m1, No. 164

***

No. 2
Entry from the Alexandria database: a relaxed Ac3LaNd5 crystal (PBE).

a b c (Å): 8.0879 8.0879 12.8767
angles (deg): 84.52 84.52 63.79
Positions (direct):
Nd 0.3248 0.9227 0.2299
Nd 0.9227 0.3248 0.2299
Nd 0.0773 0.6752 0.7701
La 0.8693 0.8693 0.2572
Nd 0.6652 0.3348 0.0000
Ac 0.3514 0.3514 0.2139
Nd 0.2527 0.2527 0.9725
Nd 0.5320 0.5320 0.3644
Ac 0.2761 0.2761 0.4890
Nd 0.6752 0.0773 0.7701
Ac 0.0000 0.0000 0.0000
Ac 0.0000 0.0000 0.5000
Ac 0.6486 0.6486 0.7861
Nd 0.4680 0.4680 0.6356
Nd 0.7473 0.7473 0.0275
La 0.1307 0.1307 0.7428
Ac 0.7239 0.7239 0.5110
Nd 0.3348 0.6652 0.0000

Space-group type: C2/m, No. 12
E_form in eV per atom: 0.43

***

No. 3
Entry from the Alexandria database: a relaxed Fe2AgAu crystal (PBE).

a b c (Å): 3.0201 3.0201 6.6112
angles (deg): 90.00 90.00 90.00
Last column: magnetic moment on the atom in μB.
Positions (direct):
Fe 0.5000 0.5000 0.2136  2.74
Au 0.5000 0.5000 0.7768  0.04
Ag 0.0000 0.0000 0.4773  0.02
Fe 0.0000 0.0000 0.0323  2.73

Space-group type: P4mm, No. 99
E_form in eV per atom: 0.17

***

Number 1: raw total energy -5.99 eV per atom, density of states at the Fermi level 5.70 states/eV per cell, spin magnetization 0.748 μB per formula unit. Number 2: raw total energy -4.13 eV per atom, density of states at the Fermi level 29.74 states/eV per cell, spin magnetization 0.000 μB per formula unit. Number 3: raw total energy -5.59 eV per atom, density of states at the Fermi level 3.41 states/eV per cell, spin magnetization 5.526 μB per formula unit.